[1]
DFT (GGA-PBE) results for PrMgPtPb after structural relaxation.

Calculated values
Total magnetic moment (μB per atom): 0.00
Symmetry: F-43m (216)
Calculated density (Mg/m³): 9.883
Formation energy from the elements (eV/atom): -0.537

a = 5.1281 Å, b = 5.1281 Å, c = 5.1281 Å
α = 60.00°, β = 60.00°, γ = 60.00°
Last column: nearest neighbours and their distance in Å.
Sites, in units of the cell vectors:
Pb  0.2500  0.2500  0.2500  4 Pr 3.14, 4 Mg 3.14
Pr  0.0000  0.0000  0.0000  4 Pb 3.14, 4 Pt 3.14
Mg  0.5000  0.5000  0.5000  4 Pt 3.14, 4 Pb 3.14
Pt  0.7500  0.7500  0.7500  4 Mg 3.14, 4 Pr 3.14



[2]
DFT (GGA-PBE) results for YBr after structural relaxation.

Calculated values
Total magnetic moment (μB per atom): 0.00
Energy relative to the elements, uncorrected (eV/atom): -1.006
Symmetry: Cm (8)
Calculated density (Mg/m³): 4.944

a = 6.7048 Å, b = 6.7048 Å, c = 8.2146 Å
α = 62.46°, β = 62.46°, γ = 31.68°
Last column: nearest neighbours and their distance in Å.
Sites, in units of the cell vectors:
Y  0.4088  0.4088  0.8092  5 Br 3.04-3.12
Y  0.9861  0.9861  0.4087  3 Br 3.00-3.04
Y  0.1605  0.1605  0.7341  5 Br 2.92-3.06
Br  0.9373  0.9373  0.0810  4 Y 2.92-3.04
Br  0.6874  0.6874  0.0102  4 Y 3.06-3.12
Br  0.6532  0.6532  0.4569  5 Y 2.96-3.09



[3]
DFT (GGA-PBE) results for MoSe after structural relaxation.

Calculated values
Total magnetic moment (μB per atom): 0.00
Energy relative to the elements, uncorrected (eV/atom): 0.140
Symmetry: R-3m (166)
Energy relative to the lowest polymorph listed for this composition (meV per atom): 420
Calculated density (Mg/m³): 8.858

a = 4.3166 Å, b = 4.3166 Å, c = 4.3166 Å
α = 42.16°, β = 42.16°, γ = 42.16°
Last column: nearest neighbours and their distance in Å.
Sites, in units of the cell vectors:
Mo  0.0000  0.0000  0.0000  6 Se 2.66
Se  0.5000  0.5000  0.5000  6 Mo 2.66



[4]
DFT (GGA-PBE) results for Rb2NiHgP after structural relaxation.

Calculated values
Total magnetic moment (μB per atom): 0.00
Symmetry: P4/mmm (123)
Calculated density (Mg/m³): 4.131
Formation energy from the elements (eV/atom): -0.158

a = 6.6716 Å, b = 6.6716 Å, c = 4.1647 Å
α = 90.00°, β = 90.00°, γ = 90.00°
Last column: nearest neighbours and their distance in Å.
Sites, in units of the cell vectors:
Ni  0.0000  0.0000  0.5000  2 P 2.08
Hg  0.5000  0.5000  0.5000  8 Rb 3.93, 2 Hg 4.16
Rb  0.0000  0.5000  0.0000  2 P 3.34
Rb  0.5000  0.0000  0.0000  2 P 3.34
P  0.0000  0.0000  0.0000  2 Ni 2.08



[5]
DFT (GGA-PBE) results for CrSeSN2 after structural relaxation.

Calculated values
Total magnetic moment (μB per atom): 0.82
Energy relative to the elements, uncorrected (eV/atom): 1.405
Symmetry: P4/mmm (123)
Energy relative to the lowest polymorph listed for this composition (meV per atom): 758
Calculated density (Mg/m³): 3.776

a = 3.6294 Å, b = 3.6294 Å, c = 6.3776 Å
α = 90.00°, β = 90.00°, γ = 90.00°
Last column: nearest neighbours and their distance in Å.
Sites, in units of the cell vectors:
Cr  0.5000  0.5000  0.5000  4 S 2.57
S  0.0000  0.0000  0.5000  4 Cr 2.57
Se  0.0000  0.0000  0.0000  4 N 1.81
N  0.0000  0.5000  0.0000  2 Se 1.81
N  0.5000  0.0000  0.0000  2 Se 1.81



[6]
DFT (GGA-PBE) results for Ca4FeOs after structural relaxation.

Calculated values
Total magnetic moment (μB per atom): 0.44
Symmetry: F-43m (216)
Calculated density (Mg/m³): 4.436
Formation energy from the elements (eV/atom): 1.312

a = 5.9920 Å, b = 5.9920 Å, c = 5.9920 Å
α = 60.00°, β = 60.00°, γ = 60.00°
Last column: nearest neighbours and their distance in Å.
Sites, in units of the cell vectors:
Ca  0.8772  0.3743  0.3743  6 Ca 2.98-3.01
Ca  0.3743  0.3743  0.8772  6 Ca 2.98-3.01
Ca  0.3743  0.8772  0.3743  6 Ca 2.98-3.01
Ca  0.3743  0.3743  0.3743  6 Ca 2.98-3.01
Fe  0.7500  0.7500  0.7500  12 Ca 3.52, 4 Os 3.67
Os  0.0000  0.0000  0.0000  12 Ca 3.51, 4 Fe 3.67



[7]
DFT (GGA-PBE) results for CaCoCl after structural relaxation.

Calculated values
Total magnetic moment (μB per atom): 0.61
Energy relative to the elements, uncorrected (eV/atom): -0.231
Symmetry: I4mm (107)
Calculated density (Mg/m³): 3.135

a = 6.8432 Å, b = 6.8433 Å, c = 3.3291 Å
α = 75.92°, β = 75.92°, γ = 28.16°
Last column: nearest neighbours and their distance in Å.
Sites, in units of the cell vectors:
Ca  0.9886  0.9886  0.0114  4 Cl 2.83, 4 Co 3.09
Co  0.6446  0.6446  0.3554  4 Ca 3.09, 4 Co 3.33
Cl  0.3668  0.3668  0.6332  4 Ca 2.83



[8]
DFT (GGA-PBE) results for BeTl2Pb2 after structural relaxation.

Calculated values
Total magnetic moment (μB per atom): 0.00
Symmetry: I4/mmm (139)
Energy relative to the lowest polymorph listed for this composition (meV per atom): 292
Calculated density (Mg/m³): 9.016
Formation energy from the elements (eV/atom): 0.627

a = 4.2003 Å, b = 4.2003 Å, c = 9.1814 Å
α = 76.78°, β = 76.78°, γ = 90.00°
Last column: nearest neighbours and their distance in Å.
Sites, in units of the cell vectors:
Pb  0.4117  0.4117  0.1766  1 Pb 3.07, 4 Be 3.34
Pb  0.5883  0.5883  0.8234  1 Pb 3.07, 4 Be 3.34
Be  0.0000  0.0000  0.0000  8 Pb 3.34
Tl  0.7500  0.2500  0.5000  4 Tl 2.97
Tl  0.2500  0.7500  0.5000  4 Tl 2.97